No. 1
Li6LaCd2 | GGA-PBE | optimized geometry

Total moment in μB per formula unit: 0.19
Density of states at the Fermi level in states/eV/atom: 0.378
Uncorrected energy in eV/atom: -2.139

Unit cell a=4.281 b=4.281 c=11.108 alpha=90.00 beta=90.00 gamma=90.00
Positions (direct):
Li (0.000, 0.500, 0.697)
Li (0.000, 0.500, 0.303)
Li (0.000, 0.000, 0.500)
Li (0.500, 0.000, 0.303)
Li (0.500, 0.500, 0.500)
Li (0.500, 0.000, 0.697)
Cd (0.500, 0.500, 0.860)
Cd (0.500, 0.500, 0.140)
La (0.000, 0.000, 0.000)

No. 2
Be2TlCd | GGA-PBE | optimized geometry

Total moment in μB per formula unit: 0.00
Offset from the most stable computed form in meV/atom: 278
Density of states at the Fermi level in states/eV/atom: 0.257

Unit cell a=4.534 b=4.534 c=3.332 alpha=90.00 beta=90.00 gamma=90.00
Positions (direct):
Be (0.500, 0.500, 0.000)
Be (0.000, 0.000, 0.000)
Tl (0.000, 0.500, 0.500)
Cd (0.500, 0.000, 0.500)

No. 3
PmCoSnRu | GGA-PBE | optimized geometry

Total moment in μB per formula unit: 0.00
Density of states at the Fermi level in states/eV/atom: 0.323
Uncorrected energy in eV/atom: -6.467

Unit cell a=4.679 b=4.679 c=4.679 alpha=60.00 beta=60.00 gamma=60.00
Positions (direct):
Sn (0.000, 0.000, 0.000)
Ru (0.750, 0.750, 0.750)
Pm (0.500, 0.500, 0.500)
Co (0.250, 0.250, 0.250)

No. 4
AcNbO4 | GGA-PBE | optimized geometry

Total moment in μB per formula unit: 0.00
Offset from the most stable computed form in meV/atom: 0
Density of states at the Fermi level in states/eV/atom: 0.000

Unit cell a=5.559 b=5.559 c=7.248 alpha=112.55 beta=112.55 gamma=90.00
Positions (direct):
Nb (0.250, 0.750, 0.500)
Nb (0.500, 0.500, 0.000)
O (0.317, 0.422, 0.333)
O (0.088, 0.683, 0.667)
O (0.578, 0.984, 0.667)
O (0.016, 0.912, 0.333)
O (0.433, 0.828, 0.167)
O (0.172, 0.266, 0.833)
O (0.734, 0.338, 0.167)
O (0.662, 0.567, 0.833)
Ac (0.000, 0.000, 0.000)
Ac (0.750, 0.250, 0.500)

No. 5
Mg15Tl2Sn2 | GGA-PBE | optimized geometry

Total moment in μB per formula unit: 0.00
Density of states at the Fermi level in states/eV/atom: 0.302
Uncorrected energy in eV/atom: -1.785

Unit cell a=8.453 b=8.453 c=8.453 alpha=66.78 beta=66.78 gamma=66.78
Positions (direct):
Sn (0.081, 0.081, 0.081)
Sn (0.919, 0.919, 0.919)
Mg (0.430, 0.802, 0.430)
Mg (0.309, 0.691, 0.000)
Mg (0.000, 0.309, 0.691)
Mg (0.000, 0.691, 0.309)
Mg (0.691, 0.000, 0.309)
Mg (0.802, 0.430, 0.430)
Mg (0.691, 0.309, 0.000)
Mg (0.000, 0.000, 0.500)
Mg (0.570, 0.570, 0.198)
Mg (0.309, 0.000, 0.691)
Mg (0.570, 0.198, 0.570)
Mg (0.500, 0.000, 0.000)
Mg (0.198, 0.570, 0.570)
Mg (0.000, 0.500, 0.000)
Mg (0.430, 0.430, 0.802)
Tl (0.708, 0.708, 0.708)
Tl (0.292, 0.292, 0.292)

No. 6
YTc2Os | GGA-PBE | optimized geometry

Total moment in μB per formula unit: 0.00
Offset from the most stable computed form in meV/atom: 548
Density of states at the Fermi level in states/eV/atom: 1.393

Unit cell a=7.492 b=7.492 c=5.981 alpha=51.22 beta=51.22 gamma=90.00
Positions (direct):
Tc (0.067, 0.625, 0.250)
Tc (0.375, 0.317, 0.750)
Tc (0.683, 0.125, 0.250)
Tc (0.875, 0.933, 0.750)
Os (0.000, 0.000, 0.000)
Os (0.750, 0.250, 0.500)
Y (0.250, 0.750, 0.500)
Y (0.500, 0.500, 0.000)

No. 7
Rb2ErUS4 | GGA-PBE | optimized geometry

Total moment in μB per formula unit: 3.01
Density of states at the Fermi level in states/eV/atom: 0.804
Uncorrected energy in eV/atom: -5.867

Unit cell a=4.066 b=7.049 c=8.058 alpha=106.93 beta=90.00 gamma=90.00
Positions (direct):
S (0.000, 0.272, 0.808)
S (0.000, 0.728, 0.192)
S (0.500, 0.234, 0.193)
S (0.500, 0.766, 0.807)
Rb (0.000, 0.500, 0.500)
Rb (0.500, 0.000, 0.500)
U (0.000, 0.000, 0.000)
Er (0.500, 0.500, 0.000)

No. 8
Li2AgHgP | GGA-PBE | optimized geometry

Total moment in μB per formula unit: 0.00
Density of states at the Fermi level in states/eV/atom: 0.019
Uncorrected energy in eV/atom: -2.743

Unit cell a=4.815 b=4.815 c=4.793 alpha=90.00 beta=90.00 gamma=90.00
Positions (direct):
P (0.000, 0.000, 0.000)
Li (0.000, 0.500, 0.000)
Li (0.500, 0.000, 0.000)
Ag (0.000, 0.000, 0.500)
Hg (0.500, 0.500, 0.500)

No. 9
La3ZrSc | GGA-PBE | optimized geometry

Total moment in μB per formula unit: 0.00
Density of states at the Fermi level in states/eV/atom: 2.566
Uncorrected energy in eV/atom: -5.332

Unit cell a=5.711 b=5.711 c=5.711 alpha=90.00 beta=90.00 gamma=90.00
Positions (direct):
La (0.000, 0.500, 0.000)
La (0.500, 0.000, 0.000)
La (0.000, 0.000, 0.500)
Sc (0.500, 0.500, 0.500)
Zr (0.000, 0.000, 0.000)

No. 10
NaAcBO4 | GGA-PBE | optimized geometry

Total moment in μB per formula unit: 1.03
Density of states at the Fermi level in states/eV/atom: 0.562
Uncorrected energy in eV/atom: -6.963

Unit cell a=5.316 b=5.316 c=7.232 alpha=90.00 beta=90.00 gamma=118.81
Positions (direct):
Na (0.500, 0.500, 0.500)
Na (0.500, 0.500, 0.000)
B (0.147, 0.853, 0.250)
B (0.853, 0.147, 0.750)
O (0.718, 0.832, 0.750)
O (0.282, 0.168, 0.250)
O (0.251, 0.749, 0.091)
O (0.251, 0.749, 0.409)
O (0.168, 0.282, 0.750)
O (0.749, 0.251, 0.591)
O (0.832, 0.718, 0.250)
O (0.749, 0.251, 0.909)
Ac (0.807, 0.193, 0.250)
Ac (0.193, 0.807, 0.750)

No. 11
YBeCl | GGA-PBE | optimized geometry

Total moment in μB per formula unit: 0.26
Offset from the most stable computed form in meV/atom: 60
Density of states at the Fermi level in states/eV/atom: 0.898

Unit cell a=6.901 b=6.902 c=3.430 alpha=75.60 beta=75.63 gamma=28.78
Positions (direct):
Y (0.666, 0.666, 0.334)
Be (0.043, 0.043, 0.957)
Cl (0.291, 0.291, 0.709)

No. 12
ZnOsW2 | GGA-PBE | optimized geometry

Total moment in μB per formula unit: 0.00
Density of states at the Fermi level in states/eV/atom: 0.638
Uncorrected energy in eV/atom: -9.264

Unit cell a=2.957 b=4.579 c=5.534 alpha=54.62 beta=90.00 gamma=90.00
Positions (direct):
W (0.000, 0.000, 0.000)
W (0.500, 0.500, 0.000)
Zn (0.500, 0.500, 0.500)
Os (0.000, 0.000, 0.500)

No. 13
HfCo2PdRh | GGA-PBE | optimized geometry

Total moment in μB per formula unit: 2.58
Density of states at the Fermi level in states/eV/atom: 1.326
Uncorrected energy in eV/atom: -6.016

Unit cell a=4.445 b=4.744 c=4.445 alpha=90.00 beta=90.00 gamma=90.00
Positions (direct):
Rh (0.500, 0.500, 0.500)
Co (0.500, 0.000, 0.000)
Co (0.000, 0.000, 0.500)
Hf (0.000, 0.000, 0.000)
Pd (0.000, 0.500, 0.000)

No. 14
LaSmDy2Ho5 | GGA-PBE | optimized geometry

Total moment in μB per formula unit: 0.00
Density of states at the Fermi level in states/eV/atom: 1.267
Uncorrected energy in eV/atom: -4.361

Unit cell a=8.865 b=8.865 c=9.775 alpha=116.96 beta=116.96 gamma=90.00
Positions (direct):
Ho (0.500, 0.500, 0.000)
Ho (0.073, 0.573, 0.737)
Ho (0.927, 0.427, 0.263)
Ho (0.336, 0.836, 0.263)
Ho (0.000, 0.000, 0.000)
Ho (0.664, 0.164, 0.737)
Ho (0.836, 0.927, 0.263)
Ho (0.164, 0.073, 0.737)
Ho (0.573, 0.664, 0.737)
Ho (0.427, 0.336, 0.263)
Dy (0.886, 0.614, 0.000)
Dy (0.386, 0.886, 0.000)
Dy (0.614, 0.114, 0.000)
Dy (0.114, 0.386, 0.000)
Sm (0.250, 0.750, 0.500)
Sm (0.750, 0.250, 0.500)
La (0.250, 0.250, 0.500)
La (0.750, 0.750, 0.500)

No. 15
PuRhS | GGA-PBE | optimized geometry

Total moment in μB per formula unit: 4.99
Density of states at the Fermi level in states/eV/atom: 3.347
Uncorrected energy in eV/atom: -9.569

Unit cell a=3.692 b=4.160 c=4.160 alpha=120.00 beta=90.00 gamma=90.00
Positions (direct):
Pu (0.667, 0.667, 0.333)
Rh (0.166, 0.333, 0.667)
S (0.167, 0.000, 0.000)

No. 16
LaAgN3 | GGA-PBE | optimized geometry

Total moment in μB per formula unit: 0.00
Density of states at the Fermi level in states/eV/atom: 1.039
Uncorrected energy in eV/atom: -4.934

Unit cell a=4.342 b=4.342 c=4.342 alpha=90.00 beta=90.00 gamma=90.00
Positions (direct):
Ag (0.500, 0.500, 0.500)
N (0.000, 0.500, 0.000)
N (0.500, 0.000, 0.000)
N (0.000, 0.000, 0.500)
La (0.000, 0.000, 0.000)

No. 17
Cs2YBCl6 | GGA-PBE | optimized geometry

Total moment in μB per formula unit: 0.00
Density of states at the Fermi level in states/eV/atom: 0.000
Uncorrected energy in eV/atom: -4.037

Unit cell a=7.561 b=7.561 c=7.568 alpha=60.03 beta=60.03 gamma=90.00
Positions (direct):
Cl (0.752, 0.752, 0.495)
Cl (0.248, 0.248, 0.505)
Cl (0.752, 0.752, 0.000)
Cl (0.248, 0.248, 0.000)
Cl (0.248, 0.752, 0.000)
Cl (0.752, 0.248, 0.000)
Y (0.000, 0.000, 0.000)
B (0.500, 0.500, 0.000)
Cs (0.250, 0.750, 0.500)
Cs (0.750, 0.250, 0.500)

No. 18
ThTlS | GGA-PBE | optimized geometry

Total moment in μB per formula unit: 0.00
Density of states at the Fermi level in states/eV/atom: 0.607
Uncorrected energy in eV/atom: -5.674

Unit cell a=4.112 b=4.112 c=9.033 alpha=90.00 beta=90.00 gamma=90.00
Positions (direct):
Tl (0.000, 0.000, 0.000)
Tl (0.500, 0.500, 0.000)
Th (0.500, 0.000, 0.314)
Th (0.000, 0.500, 0.686)
S (0.500, 0.000, 0.631)
S (0.000, 0.500, 0.369)

No. 19
PmSm2ErTm4 | GGA-PBE | optimized geometry

Total moment in μB per formula unit: 2.42
Density of states at the Fermi level in states/eV/atom: 2.274
Uncorrected energy in eV/atom: -4.146

Unit cell a=9.462 b=9.462 c=11.729 alpha=128.30 beta=128.30 gamma=88.62
Positions (direct):
Tm (0.250, 0.250, 0.496)
Tm (0.747, 0.253, 0.500)
Tm (0.247, 0.753, 0.000)
Tm (0.750, 0.750, 0.504)
Tm (0.750, 0.750, 0.996)
Tm (0.253, 0.747, 0.500)
Tm (0.753, 0.247, 0.000)
Tm (0.250, 0.250, 0.004)
Pm (0.000, 0.500, 0.500)
Pm (0.000, 0.500, 0.000)
Er (0.500, 0.500, 0.500)
Er (0.000, 0.000, 0.000)
Sm (0.500, 0.000, 0.500)
Sm (0.500, 0.000, 0.000)
Sm (0.000, 0.000, 0.500)
Sm (0.500, 0.500, 0.000)

No. 20
LiPa2S6 | GGA-PBE | optimized geometry

Total moment in μB per formula unit: 0.00
Offset from the most stable computed form in meV/atom: 104
Density of states at the Fermi level in states/eV/atom: 0.590

Unit cell a=6.275 b=6.275 c=11.796 alpha=90.00 beta=90.00 gamma=90.00
Positions (direct):
S (0.297, 0.297, 0.664)
S (0.810, 0.190, 0.500)
S (0.797, 0.203, 0.164)
S (0.797, 0.203, 0.836)
S (0.703, 0.703, 0.664)
S (0.310, 0.310, 0.000)
S (0.203, 0.797, 0.836)
S (0.703, 0.703, 0.336)
S (0.690, 0.690, 0.000)
S (0.297, 0.297, 0.336)
S (0.190, 0.810, 0.500)
S (0.203, 0.797, 0.164)
Li (0.000, 0.000, 0.000)
Li (0.500, 0.500, 0.500)
Pa (0.000, 0.000, 0.328)
Pa (0.500, 0.500, 0.172)
Pa (0.500, 0.500, 0.828)
Pa (0.000, 0.000, 0.672)

No. 21
Pm2InGa4Cu3 | GGA-PBE | optimized geometry

Total moment in μB per formula unit: 0.00
Density of states at the Fermi level in states/eV/atom: 0.410
Uncorrected energy in eV/atom: -4.109

Unit cell a=4.218 b=4.218 c=10.678 alpha=90.00 beta=90.00 gamma=90.00
Positions (direct):
Ga (0.500, 0.000, 0.655)
Ga (0.500, 0.500, 0.000)
Ga (0.000, 0.500, 0.345)
Ga (0.000, 0.000, 0.000)
Pm (0.000, 0.500, 0.763)
Pm (0.500, 0.000, 0.237)
Cu (0.000, 0.500, 0.123)
Cu (0.500, 0.000, 0.877)
Cu (0.000, 0.000, 0.500)
In (0.500, 0.500, 0.500)

No. 22
Tc3H4Ru | GGA-PBE | optimized geometry

Total moment in μB per formula unit: 0.00
Density of states at the Fermi level in states/eV/atom: 0.733
Uncorrected energy in eV/atom: -6.716

Unit cell a=4.022 b=4.022 c=4.022 alpha=90.00 beta=90.00 gamma=90.00
Positions (direct):
H (0.500, 0.500, 0.500)
H (0.500, 0.000, 0.000)
H (0.000, 0.500, 0.000)
H (0.000, 0.000, 0.500)
Tc (0.500, 0.500, 0.000)
Tc (0.000, 0.500, 0.500)
Tc (0.500, 0.000, 0.500)
Ru (0.000, 0.000, 0.000)

No. 23
SrAgTe | GGA-PBE | optimized geometry

Total moment in μB per formula unit: 0.00
Offset from the most stable computed form in meV/atom: 145

Unit cell a=4.346 b=5.219 c=8.917 alpha=73.03 beta=88.07 gamma=89.92
Positions (direct):
Sr (0.193, 0.652, 0.347)
Sr (0.232, 0.354, 0.945)
Te (0.720, 0.800, 0.055)
Te (0.757, 0.501, 0.652)
Ag (0.030, 0.049, 0.553)
Ag (0.574, 0.163, 0.322)

No. 24
Cs2LiMnI6 | GGA-PBE | optimized geometry

Total moment in μB per formula unit: 4.00
Offset from the most stable computed form in meV/atom: 0
Density of states at the Fermi level in states/eV/atom: 0.311

Unit cell a=7.105 b=8.206 c=8.206 alpha=120.00 beta=90.00 gamma=90.00
Positions (direct):
I (0.232, 0.839, 0.679)
I (0.768, 0.161, 0.321)
I (0.768, 0.161, 0.839)
I (0.768, 0.679, 0.839)
I (0.232, 0.321, 0.161)
I (0.232, 0.839, 0.161)
Cs (0.770, 0.667, 0.333)
Cs (0.230, 0.333, 0.667)
Li (0.500, 0.000, 0.000)
Mn (0.000, 0.000, 0.000)